#i
# LiHfPd2 | OQMD via LeMat-Bulk | PBE | optimized geometry
# - V (Å³ per cell) = 65.4
# - theoretical density (g/cm³) = 10.1
# - total moment (Bohr magnetons per cell) = 0.01
data_LiHfPd2
_chemical_formula_sum 'Li1 Hf1 Pd2'
_symmetry_space_group_name_H-M 'P 4/m m m'
_symmetry_Int_Tables_number 123
_symmetry_space_group_name_Hall '-P 4 2'
_cell_length_a 4.5334
_cell_length_b 4.5334
_cell_length_c 3.1802
_cell_angle_alpha 90.00
_cell_angle_beta 90.00
_cell_angle_gamma 90.00
loop_
_atom_site_label
_atom_site_type_symbol
_atom_site_fract_x
_atom_site_fract_y
_atom_site_fract_z
_atom_site_occupancy
Li1 Li 0.0000 0.0000 0.0000 1
Hf1 Hf 0.5000 0.5000 0.0000 1
Pd1 Pd 0.0000 0.5000 0.5000 1

=====

#ii
# LiHfPd2 | OQMD via LeMat-Bulk | PBE | optimized geometry
# - V (Å³ per cell) = 64.8
# - theoretical density (g/cm³) = 10.2
# - total moment (Bohr magnetons per cell) = 0.00
data_LiHfPd2
_chemical_formula_sum 'Li1 Hf1 Pd2'
_symmetry_space_group_name_H-M 'P 4/m m m'
_symmetry_Int_Tables_number 123
_symmetry_space_group_name_Hall '-P 4 2'
_cell_length_a 3.2920
_cell_length_b 3.2920
_cell_length_c 5.9767
_cell_angle_alpha 90.00
_cell_angle_beta 90.00
_cell_angle_gamma 90.00
loop_
_atom_site_label
_atom_site_type_symbol
_atom_site_fract_x
_atom_site_fract_y
_atom_site_fract_z
_atom_site_occupancy
Li1 Li 0.0000 0.0000 0.0000 1
Hf1 Hf 0.0000 0.0000 0.5000 1
Pd1 Pd 0.5000 0.5000 0.2400 1

=====

Stability check: which of them is most stable? #ii.